Entry 1:
Below is a geometry-optimized MnIn2Te6Au structure, with properties calculated at the PBE-GGA level.

Cell and atoms, written as CIF:
```
data_MnIn2Te6Au
_chemical_formula_sum 'Mn4 In8 Te24 Au4'
_space_group_name_H-M_alt 'C 1 2/c 1'
_space_group_IT_number 15
_space_group_name_Hall '-C 2yc'
_cell_length_a 16.207
_cell_length_b 11.832
_cell_length_c 6.220
_cell_angle_alpha 90.00
_cell_angle_beta 99.51
_cell_angle_gamma 90.00
loop_
_atom_site_label
_atom_site_type_symbol
_atom_site_fract_x
_atom_site_fract_y
_atom_site_fract_z
Mn1 Mn 0.000 0.087 0.250
In1 In 0.239 0.096 0.382
Te1 Te 0.091 0.251 0.515
Te2 Te 0.101 0.085 0.946
Te3 Te 0.119 0.412 0.167
Au1 Au 0.000 0.413 0.750
```

Values from the calculation:
For the density of states at the Fermi level, the calculation gives 19.70 states/eV/cell. As for the energy: -3.735 eV per atom. As for the total magnetization: 3.20 μB per formula unit. The value obtained for the uncorrected formation energy is -0.0579 eV/atom. The density comes out at 7.04 g cm⁻³.



Entry 2:
Below is a geometry-optimized MnTlInAu2 structure, with properties calculated at the PBE-GGA level.

Cell and atoms, written as CIF:
```
data_MnTlInAu2
_chemical_formula_sum 'Mn1 Tl1 In1 Au2'
_space_group_name_H-M_alt 'P 4/m m m'
_space_group_IT_number 123
_space_group_name_Hall '-P 4 2'
_cell_length_a 5.312
_cell_length_b 5.312
_cell_length_c 5.209
_cell_angle_alpha 90.00
_cell_angle_beta 90.00
_cell_angle_gamma 90.00
loop_
_atom_site_label
_atom_site_type_symbol
_atom_site_fract_x
_atom_site_fract_y
_atom_site_fract_z
Mn1 Mn 0.000 0.000 0.000
Tl1 Tl 0.000 0.000 0.500
In1 In 0.500 0.500 0.000
Au1 Au 0.000 0.500 0.500
```

Values from the calculation:
For the density of states at the Fermi level, the calculation gives 2.52 states/eV/cell. As for the energy: -3.443 eV per atom. The formation energy is 0.723 eV/atom. As for the total magnetization: 4.48 μB per formula unit. The density comes out at 8.68 g cm⁻³.



Entry 3:
Below is a geometry-optimized MnZnInAu structure, with properties calculated at the PBE-GGA level.

Cell and atoms, written as CIF:
```
data_MnZnInAu
_chemical_formula_sum 'Mn4 Zn4 In4 Au4'
_space_group_name_H-M_alt 'F -4 3 m'
_space_group_IT_number 216
_space_group_name_Hall 'F -4 2 3'
_cell_length_a 6.526
_cell_length_b 6.526
_cell_length_c 6.526
_cell_angle_alpha 90.00
_cell_angle_beta 90.00
_cell_angle_gamma 90.00
loop_
_atom_site_label
_atom_site_type_symbol
_atom_site_fract_x
_atom_site_fract_y
_atom_site_fract_z
Mn1 Mn 0.000 0.000 0.000
Zn1 Zn 0.000 0.000 0.500
In1 In 0.250 0.250 0.250
Au1 Au 0.250 0.250 0.750
```

Values from the calculation:
For the density of states at the Fermi level, the calculation gives 5.21 states/eV/cell. As for the energy: -4.066 eV per atom. The formation energy is 0.049 eV/atom. As for the total magnetization: 3.69 μB per formula unit. The density comes out at 10.33 g cm⁻³.



Entry 4:
Below is a geometry-optimized In2MoAu structure, with properties calculated at the PBE-GGA level.

Cell and atoms, written as CIF:
```
data_In2MoAu
_chemical_formula_sum 'In2 Mo1 Au1'
_space_group_name_H-M_alt 'P 4 m m'
_space_group_IT_number 99
_space_group_name_Hall 'P 4 -2'
_cell_length_a 2.976
_cell_length_b 2.976
_cell_length_c 9.160
_cell_angle_alpha 90.00
_cell_angle_beta 90.00
_cell_angle_gamma 90.00
loop_
_atom_site_label
_atom_site_type_symbol
_atom_site_fract_x
_atom_site_fract_y
_atom_site_fract_z
In1 In 0.000 0.000 0.000
In2 In 0.500 0.500 0.301
Mo1 Mo 0.000 0.000 0.533
Au1 Au 0.500 0.500 0.742
```

Values from the calculation:
The calculation puts the energy above the most stable polymorph in this dataset at 98 meV/atom. For the density of states at the Fermi level, the calculation gives 2.54 states/eV/cell. As for the energy: -4.632 eV per atom. The formation energy is 0.265 eV/atom. As for the total magnetization: 0.00 μB per formula unit. The density comes out at 10.70 g cm⁻³.



Entry 5:
Below is a geometry-optimized InMo2Au structure, with properties calculated at the PBE-GGA level.

Cell and atoms, written as CIF:
```
data_InMo2Au
_chemical_formula_sum 'In1 Mo2 Au1'
_space_group_name_H-M_alt 'P 1 m 1'
_space_group_IT_number 6
_space_group_name_Hall 'P -2y'
_cell_length_a 2.856
_cell_length_b 4.543
_cell_length_c 5.481
_cell_angle_alpha 90.00
_cell_angle_beta 95.91
_cell_angle_gamma 90.00
loop_
_atom_site_label
_atom_site_type_symbol
_atom_site_fract_x
_atom_site_fract_y
_atom_site_fract_z
In1 In 0.000 0.000 0.000
Mo1 Mo 0.420 0.000 0.482
Mo2 Mo 0.597 0.500 0.255
Au1 Au 0.990 0.500 0.734
```

Values from the calculation:
For the density of states at the Fermi level, the calculation gives 1.72 states/eV/cell. As for the energy: -6.670 eV per atom. The formation energy is 0.250 eV/atom. As for the total magnetization: 0.00 μB per formula unit. The density comes out at 11.83 g cm⁻³.



Entry 6:
Below is a geometry-optimized In2MoAu structure, with properties calculated at the PBE-GGA level.

Cell and atoms, written as CIF:
```
data_In2MoAu
_chemical_formula_sum 'In4 Mo2 Au2'
_space_group_name_H-M_alt 'I 4/m m m'
_space_group_IT_number 139
_space_group_name_Hall '-I 4 2'
_cell_length_a 4.213
_cell_length_b 4.213
_cell_length_c 8.723
_cell_angle_alpha 90.00
_cell_angle_beta 90.00
_cell_angle_gamma 90.00
loop_
_atom_site_label
_atom_site_type_symbol
_atom_site_fract_x
_atom_site_fract_y
_atom_site_fract_z
In1 In 0.000 0.500 0.250
Mo1 Mo 0.000 0.000 0.000
Au1 Au 0.000 0.000 0.500
```

Values from the calculation:
The calculation puts the energy above the most stable polymorph in this dataset at 161 meV/atom. For the density of states at the Fermi level, the calculation gives 10.72 states/eV/cell. As for the energy: -4.569 eV per atom. The formation energy is 0.328 eV/atom. As for the total magnetization: 0.00 μB per formula unit. The density comes out at 11.21 g cm⁻³.



Entry 7:
Below is a geometry-optimized InMo4Au structure, with properties calculated at the PBE-GGA level.

Cell and atoms, written as CIF:
```
data_InMo4Au
_chemical_formula_sum 'In4 Mo16 Au4'
_space_group_name_H-M_alt 'F -4 3 m'
_space_group_IT_number 216
_space_group_name_Hall 'F -4 2 3'
_cell_length_a 7.512
_cell_length_b 7.512
_cell_length_c 7.512
_cell_angle_alpha 90.00
_cell_angle_beta 90.00
_cell_angle_gamma 90.00
loop_
_atom_site_label
_atom_site_type_symbol
_atom_site_fract_x
_atom_site_fract_y
_atom_site_fract_z
In1 In 0.000 0.000 0.000
Mo1 Mo 0.124 0.124 0.624
Au1 Au 0.250 0.250 0.250
```

Values from the calculation:
For the density of states at the Fermi level, the calculation gives 28.44 states/eV/cell. As for the energy: -7.766 eV per atom. The formation energy is 0.457 eV/atom. As for the total magnetization: 0.00 μB per formula unit. The density comes out at 10.90 g cm⁻³.



Entry 8:
Below is a geometry-optimized InMoAu2 structure, with properties calculated at the PBE-GGA level.

Cell and atoms, written as CIF:
```
data_InMoAu2
_chemical_formula_sum 'In1 Mo1 Au2'
_space_group_name_H-M_alt 'P 4 m m'
_space_group_IT_number 99
_space_group_name_Hall 'P 4 -2'
_cell_length_a 2.926
_cell_length_b 2.926
_cell_length_c 8.494
_cell_angle_alpha 90.00
_cell_angle_beta 90.00
_cell_angle_gamma 90.00
loop_
_atom_site_label
_atom_site_type_symbol
_atom_site_fract_x
_atom_site_fract_y
_atom_site_fract_z
In1 In 0.000 0.000 0.000
Mo1 Mo 0.500 0.500 0.252
Au1 Au 0.000 0.000 0.479
Au2 Au 0.500 0.500 0.738
```

Values from the calculation:
For the density of states at the Fermi level, the calculation gives 2.72 states/eV/cell. As for the energy: -4.858 eV per atom. The formation energy is 0.173 eV/atom. As for the total magnetization: 0.00 μB per formula unit. The density comes out at 13.81 g cm⁻³.



Entry 9:
Below is a geometry-optimized In3MoAu structure, with properties calculated at the PBE-GGA level.

Cell and atoms, written as CIF:
```
data_In3MoAu
_chemical_formula_sum 'In3 Mo1 Au1'
_space_group_name_H-M_alt 'P m -3 m'
_space_group_IT_number 221
_space_group_name_Hall '-P 4 2 3'
_cell_length_a 5.279
_cell_length_b 5.279
_cell_length_c 5.279
_cell_angle_alpha 90.00
_cell_angle_beta 90.00
_cell_angle_gamma 90.00
loop_
_atom_site_label
_atom_site_type_symbol
_atom_site_fract_x
_atom_site_fract_y
_atom_site_fract_z
In1 In 0.000 0.000 0.500
Mo1 Mo 0.500 0.500 0.500
Au1 Au 0.000 0.000 0.000
```

Values from the calculation:
The calculation puts the energy above the most stable polymorph in this dataset at 188 meV/atom. For the density of states at the Fermi level, the calculation gives 3.06 states/eV/cell. As for the energy: -3.524 eV per atom. The formation energy is 0.941 eV/atom. As for the total magnetization: 4.13 μB per formula unit. The density comes out at 7.19 g cm⁻³.



Entry 10:
Below is a geometry-optimized InMo2Au structure, with properties calculated at the PBE-GGA level.

Cell and atoms, written as CIF:
```
data_InMo2Au
_chemical_formula_sum 'In2 Mo4 Au2'
_space_group_name_H-M_alt 'I 4/m m m'
_space_group_IT_number 139
_space_group_name_Hall '-I 4 2'
_cell_length_a 3.927
_cell_length_b 3.927
_cell_length_c 9.000
_cell_angle_alpha 90.00
_cell_angle_beta 90.00
_cell_angle_gamma 90.00
loop_
_atom_site_label
_atom_site_type_symbol
_atom_site_fract_x
_atom_site_fract_y
_atom_site_fract_z
In1 In 0.000 0.000 0.000
Mo1 Mo 0.000 0.500 0.250
Au1 Au 0.000 0.000 0.500
```

Values from the calculation:
For the density of states at the Fermi level, the calculation gives 4.80 states/eV/cell. As for the energy: -6.656 eV per atom. The formation energy is 0.264 eV/atom. As for the total magnetization: 0.00 μB per formula unit. The density comes out at 12.05 g cm⁻³.



Entry 11:
Below is a geometry-optimized InMo2Au structure, with properties calculated at the PBE-GGA level.

Cell and atoms, written as CIF:
```
data_InMo2Au
_chemical_formula_sum 'In2 Mo4 Au2'
_space_group_name_H-M_alt 'C m m 2'
_space_group_IT_number 35
_space_group_name_Hall 'C 2 -2'
_cell_length_a 3.279
_cell_length_b 4.771
_cell_length_c 9.205
_cell_angle_alpha 90.00
_cell_angle_beta 90.00
_cell_angle_gamma 90.00
loop_
_atom_site_label
_atom_site_type_symbol
_atom_site_fract_x
_atom_site_fract_y
_atom_site_fract_z
In1 In 0.000 0.000 0.000
Mo1 Mo 0.000 0.000 0.521
Mo2 Mo 0.000 0.500 0.738
Au1 Au 0.000 0.500 0.267
```

Values from the calculation:
For the density of states at the Fermi level, the calculation gives 2.89 states/eV/cell. As for the energy: -6.693 eV per atom. The formation energy is 0.227 eV/atom. As for the total magnetization: 0.00 μB per formula unit. The density comes out at 11.62 g cm⁻³.



Entry 12:
Below is a geometry-optimized In2MoAu structure, with properties calculated at the PBE-GGA level.

Cell and atoms, written as CIF:
```
data_In2MoAu
_chemical_formula_sum 'In2 Mo1 Au1'
_space_group_name_H-M_alt 'P 4/m m m'
_space_group_IT_number 123
_space_group_name_Hall '-P 4 2'
_cell_length_a 4.512
_cell_length_b 4.512
_cell_length_c 3.723
_cell_angle_alpha 90.00
_cell_angle_beta 90.00
_cell_angle_gamma 90.00
loop_
_atom_site_label
_atom_site_type_symbol
_atom_site_fract_x
_atom_site_fract_y
_atom_site_fract_z
In1 In 0.000 0.500 0.000
Mo1 Mo 0.000 0.000 0.500
Au1 Au 0.500 0.500 0.500
```

Values from the calculation:
The calculation puts the energy above the most stable polymorph in this dataset at 0 meV/atom. For the density of states at the Fermi level, the calculation gives 3.02 states/eV/cell. As for the energy: -4.730 eV per atom. The formation energy is 0.167 eV/atom. As for the total magnetization: 0.00 μB per formula unit. The density comes out at 11.45 g cm⁻³.



Entry 13:
Below is a geometry-optimized InMoAu2 structure, with properties calculated at the PBE-GGA level.

Cell and atoms, written as CIF:
```
data_InMoAu2
_chemical_formula_sum 'In2 Mo2 Au4'
_space_group_name_H-M_alt 'I m m 2'
_space_group_IT_number 44
_space_group_name_Hall 'I 2 -2'
_cell_length_a 2.961
_cell_length_b 5.057
_cell_length_c 9.877
_cell_angle_alpha 90.00
_cell_angle_beta 90.00
_cell_angle_gamma 90.00
loop_
_atom_site_label
_atom_site_type_symbol
_atom_site_fract_x
_atom_site_fract_y
_atom_site_fract_z
In1 In 0.000 0.000 0.000
Mo1 Mo 0.000 0.500 0.752
Au1 Au 0.000 0.000 0.496
Au2 Au 0.000 0.500 0.250
```

Values from the calculation:
For the density of states at the Fermi level, the calculation gives 5.11 states/eV/cell. As for the energy: -4.764 eV per atom. The formation energy is 0.267 eV/atom. As for the total magnetization: 0.78 μB per formula unit. The density comes out at 13.58 g cm⁻³.



Entry 14:
Below is a geometry-optimized In2MoAu structure, with properties calculated at the PBE-GGA level.

Cell and atoms, written as CIF:
```
data_In2MoAu
_chemical_formula_sum 'In8 Mo4 Au4'
_space_group_name_H-M_alt 'I -4 2 d'
_space_group_IT_number 122
_space_group_name_Hall 'I -4 2bw'
_cell_length_a 7.557
_cell_length_b 7.557
_cell_length_c 5.949
_cell_angle_alpha 90.00
_cell_angle_beta 90.00
_cell_angle_gamma 90.00
loop_
_atom_site_label
_atom_site_type_symbol
_atom_site_fract_x
_atom_site_fract_y
_atom_site_fract_z
In1 In 0.241 0.250 0.125
Mo1 Mo 0.000 0.000 0.500
Au1 Au 0.000 0.000 0.000
```

Values from the calculation:
The calculation puts the energy above the most stable polymorph in this dataset at 349 meV/atom. For the density of states at the Fermi level, the calculation gives 4.14 states/eV/cell. As for the energy: -4.381 eV per atom. The formation energy is 0.515 eV/atom. As for the total magnetization: 0.99 μB per formula unit. The density comes out at 10.22 g cm⁻³.